Entry from Alexandria: crystalline CePaAs2O8 at its relaxed geometry (PBE).

V: 14.9 Å³ per atom
Formation energy (no corrections): -2.309 eV/atom
Electronic total energy: -92.1 eV for the cell shown

CIF file:
```
data_CePaAs2O8
_chemical_formula_sum 'Ce1 Pa1 As2 O8'
_symmetry_space_group_name_H-M 'P 1'
_symmetry_Int_Tables_number 1
_cell_length_a 6.1507
_cell_length_b 6.1507
_cell_length_c 6.1507
_cell_angle_alpha 107.77
_cell_angle_beta 107.77
_cell_angle_gamma 112.94
loop_
_symmetry_equiv_pos_as_xyz
'x,y,z'
loop_
_atom_site_label
_atom_site_fract_x
_atom_site_fract_y
_atom_site_fract_z
Ce1 0.0000 0.0000 0.0000
Pa1 0.2500 0.7500 0.5000
As1 0.7500 0.2500 0.5000
As2 0.5000 0.5000 0.0000
O1 0.4023 0.0787 0.3236
O2 0.2980 0.5000 0.2020
O3 0.2980 0.0961 0.7980
O4 0.7550 0.0787 0.6764
O5 0.9039 0.7020 0.2020
O6 0.9213 0.2450 0.3236
O7 0.9213 0.5977 0.6764
O8 0.5000 0.7020 0.7980
```

Entry from Alexandria: crystalline Rb3Ag2Br7 at its relaxed geometry (PBE).

V: 34.6 Å³ per atom
Formation energy (no corrections): -1.012 eV/atom
Electronic total energy: -32.5 eV for the cell shown

CIF file:
```
data_Rb3Ag2Br7
_chemical_formula_sum 'Rb3 Ag2 Br7'
_symmetry_space_group_name_H-M 'P 1'
_symmetry_Int_Tables_number 1
_cell_length_a 5.4647
_cell_length_b 5.4647
_cell_length_c 14.4128
_cell_angle_alpha 100.93
_cell_angle_beta 100.93
_cell_angle_gamma 90.00
loop_
_symmetry_equiv_pos_as_xyz
'x,y,z'
loop_
_atom_site_label
_atom_site_fract_x
_atom_site_fract_y
_atom_site_fract_z
Rb1 0.3208 0.3208 0.6417
Rb2 0.6792 0.6792 0.3583
Rb3 0.5000 0.5000 0.0000
Ag1 0.0978 0.0978 0.1956
Ag2 0.9022 0.9022 0.8044
Br1 0.0000 0.0000 0.0000
Br2 0.9068 0.4068 0.8136
Br3 0.4068 0.9068 0.8136
Br4 0.0932 0.5932 0.1864
Br5 0.5932 0.0932 0.1864
Br6 0.1954 0.1954 0.3909
Br7 0.8046 0.8046 0.6091
```

Entry from Alexandria: crystalline Li2Si2W at its relaxed geometry (PBE).

V: 13.4 Å³ per atom
Formation energy (no corrections): 0.096 eV/atom
Electronic total energy: -54.3 eV for the cell shown

CIF file:
```
data_Li2Si2W
_chemical_formula_sum 'Li4 Si4 W2'
_symmetry_space_group_name_H-M 'P 1'
_symmetry_Int_Tables_number 1
_cell_length_a 6.8074
_cell_length_b 6.8074
_cell_length_c 2.8833
_cell_angle_alpha 90.00
_cell_angle_beta 90.00
_cell_angle_gamma 90.00
loop_
_symmetry_equiv_pos_as_xyz
'x,y,z'
loop_
_atom_site_label
_atom_site_fract_x
_atom_site_fract_y
_atom_site_fract_z
Si1 0.3583 0.8583 0.0000
Si2 0.8583 0.6417 0.0000
Si3 0.6417 0.1417 0.0000
Si4 0.1417 0.3583 0.0000
W1 0.0000 0.0000 0.0000
W2 0.5000 0.5000 0.0000
Li1 0.1565 0.6565 0.5000
Li2 0.6565 0.8435 0.5000
Li3 0.8435 0.3435 0.5000
Li4 0.3435 0.1565 0.5000
```

Entry from Alexandria: crystalline Mn2Ga2Pd7 at its relaxed geometry (PBE).

V: 16.6 Å³ per atom
Electronic total energy: -62.0 eV for the cell shown
ΔE_f: -0.11 eV/atom

CIF file:
```
data_Mn2Ga2Pd7
_chemical_formula_sum 'Mn2 Ga2 Pd7'
_symmetry_space_group_name_H-M 'P 1'
_symmetry_Int_Tables_number 1
_cell_length_a 5.3892
_cell_length_b 7.1242
_cell_length_c 5.3892
_cell_angle_alpha 89.94
_cell_angle_beta 118.05
_cell_angle_gamma 90.05
loop_
_symmetry_equiv_pos_as_xyz
'x,y,z'
loop_
_atom_site_label
_atom_site_fract_x
_atom_site_fract_y
_atom_site_fract_z
Mn1 0.7252 0.0002 0.2748
Mn2 0.2748 0.9998 0.7252
Ga1 0.7656 0.5000 0.7656
Ga2 0.2344 0.5000 0.2344
Pd1 0.9999 0.3086 0.5002
Pd2 0.5004 0.6914 0.0000
Pd3 0.0001 0.6914 0.4998
Pd4 0.4996 0.3086 0.0000
Pd5 0.0000 0.0000 0.0000
Pd6 0.5001 0.7899 0.4998
Pd7 0.4999 0.2101 0.5002
```

Entry from Alexandria: crystalline Hf2PdC at its relaxed geometry (PBE).

V: 15.8 Å³ per atom
Electronic total energy: -37.3 eV for the cell shown
ΔE_f: -0.73 eV/atom

CIF file:
```
data_Hf2PdC
_chemical_formula_sum 'Hf2 Pd1 C1'
_symmetry_space_group_name_H-M 'P 1'
_symmetry_Int_Tables_number 1
_cell_length_a 3.2260
_cell_length_b 3.2260
_cell_length_c 7.2806
_cell_angle_alpha 89.98
_cell_angle_beta 102.79
_cell_angle_gamma 120.07
loop_
_symmetry_equiv_pos_as_xyz
'x,y,z'
loop_
_atom_site_label
_atom_site_fract_x
_atom_site_fract_y
_atom_site_fract_z
Hf1 0.5431 0.2714 0.8145
Hf2 0.4569 0.7286 0.1855
Pd1 0.0000 0.5000 0.5000
C1 0.0000 0.0000 0.0000
```

Entry from Alexandria: crystalline TaP2OsCl at its relaxed geometry (PBE).

V: 20.9 Å³ per atom
Formation energy (no corrections): 0.751 eV/atom
Relative energy among the computed polymorphs: 0.000 eV/atom
Electronic total energy: -32.0 eV for the cell shown

CIF file:
```
data_TaP2OsCl
_chemical_formula_sum 'Ta1 P2 Os1 Cl1'
_symmetry_space_group_name_H-M 'P 1'
_symmetry_Int_Tables_number 1
_cell_length_a 4.4480
_cell_length_b 5.2714
_cell_length_c 4.4480
_cell_angle_alpha 90.00
_cell_angle_beta 90.00
_cell_angle_gamma 90.00
loop_
_symmetry_equiv_pos_as_xyz
'x,y,z'
loop_
_atom_site_label
_atom_site_fract_x
_atom_site_fract_y
_atom_site_fract_z
P1 0.0000 0.0000 0.5000
P2 0.5000 0.0000 0.0000
Cl1 0.5000 0.5000 0.5000
Os1 0.0000 0.0000 0.0000
Ta1 0.0000 0.5000 0.0000
```